No. 1
Compound: Ba2InIr
Source: the Alexandria database
Functional: PBE
Structure: optimized geometry

Calculated values
density of states at the Fermi level = 2.996 states/eV per cell
symmetry = C2/m (12)
final energy = -15.27 eV per cell

Lattice parameters (Å, degrees): 4.4022 4.4022 9.6214 76.57 76.57 60.24
Positions (direct):
1 Ir 0.2500 0.2500 0.2500
2 Ba 0.5210 0.5210 0.4363
3 Ba 0.9790 0.9790 0.0637
4 In 0.7500 0.7500 0.7500

=====

No. 2
Compound: BaInIr2
Source: the Alexandria database
Functional: PBE
Structure: optimized geometry

Calculated values
density of states at the Fermi level = 2.017 states/eV per cell
symmetry = P4/mmm (123)
final energy = -20.63 eV per cell

Lattice parameters (Å, degrees): 4.6628 4.6642 3.9325 90.00 90.00 90.00
Positions (direct):
1 Ir 0.5000 0.5000 0.0000
2 Ir 0.0000 0.0000 0.0000
3 In 0.0000 0.5000 0.5000
4 Ba 0.5000 0.0000 0.5000

=====

No. 3
Compound: BaIn8Ir2
Source: the Alexandria database
Functional: PBE
Structure: optimized geometry

Calculated values
density of states at the Fermi level = 4.422 states/eV per cell
symmetry = C2/m (12)
final energy = -43.55 eV per cell

Lattice parameters (Å, degrees): 5.2982 7.5001 7.5001 103.98 97.00 97.00
Positions (direct):
1 In 0.5000 0.2866 0.7134
2 In 0.0921 0.3488 0.0900
3 In 0.2696 0.6052 0.6052
4 In 0.9079 0.9100 0.6512
5 In 0.0921 0.0900 0.3488
6 In 0.7304 0.3948 0.3948
7 In 0.5000 0.7134 0.2866
8 In 0.9079 0.6512 0.9100
9 Ir 0.0000 0.2912 0.7088
10 Ir 0.0000 0.7088 0.2912
11 Ba 0.5000 0.0000 0.0000

=====

No. 4
Compound: BaInIr2
Source: the Alexandria database
Functional: PBE
Structure: optimized geometry

Calculated values
density of states at the Fermi level = 3.480 states/eV per cell
symmetry = Imm2 (44)
final energy = -21.32 eV per cell

Lattice parameters (Å, degrees): 6.3230 6.3230 6.3230 152.04 130.63 57.69
Positions (direct):
1 In 0.2097 0.7097 0.5000
2 Ir 0.7950 0.2950 0.5000
3 Ir 0.9893 0.9893 0.0000
4 Ba 0.5061 0.5061 0.0000

=====

Copy entry 3 word for word.
Compound: BaIn8Ir2
Source: the Alexandria database
Functional: PBE
Structure: optimized geometry

Calculated values
density of states at the Fermi level = 4.422 states/eV per cell
symmetry = C2/m (12)
final energy = -43.55 eV per cell

Lattice parameters (Å, degrees): 5.2982 7.5001 7.5001 103.98 97.00 97.00
Positions (direct):
1 In 0.5000 0.2866 0.7134
2 In 0.0921 0.3488 0.0900
3 In 0.2696 0.6052 0.6052
4 In 0.9079 0.9100 0.6512
5 In 0.0921 0.0900 0.3488
6 In 0.7304 0.3948 0.3948
7 In 0.5000 0.7134 0.2866
8 In 0.9079 0.6512 0.9100
9 Ir 0.0000 0.2912 0.7088
10 Ir 0.0000 0.7088 0.2912
11 Ba 0.5000 0.0000 0.0000

=====

Q: Which value of final energy does entry 1 give?
A: -15.27 eV per cell

=====

Q: Look up the final energy of the second one.
A: -20.63 eV per cell